No. 1
Compound: MnCdGa
Source: Alexandria
Functional: PBE
Structure: relaxed

POSCAR file:
```
MnCdGa
1.0
-0.100 2.784 0.863
0.246 -0.852 2.778
5.915 -0.621 -2.244
Mn Cd Ga
1 1 1
direct
0.678 0.678 0.357 Mn
0.006 0.006 0.013 Cd
0.315 0.315 0.630 Ga
```

Results
- total DFT energy (no corrections) (eV per cell) = -12.760
- calculated volume (Å³ per atom) = 17.05
- ΔH_f (0 K) (eV per atom) = 0.117
- total magnetic moment (μB/f.u.) = 3.28

***

No. 2
Compound: TiHg3Pt
Source: Alexandria
Functional: PBE
Structure: relaxed

POSCAR file:
```
TiHg3Pt
1.0
5.220 0.000 0.000
0.000 5.220 0.000
0.000 0.000 5.220
Ti Hg Pt
1 3 1
direct
0.000 0.000 0.000 Ti
0.000 0.000 0.500 Hg
0.000 0.500 0.000 Hg
0.500 0.000 0.000 Hg
0.500 0.500 0.500 Pt
```

Results
- total DFT energy (no corrections) (eV per cell) = -9.632
- calculated volume (Å³ per atom) = 28.45
- ΔH_f (0 K) (eV per atom) = 1.042
- total magnetic moment (μB/f.u.) = 1.18

***

No. 3
Compound: BeSiAu
Source: Alexandria
Functional: PBE
Structure: relaxed

POSCAR file:
```
BeSiAu
1.0
-0.484 2.583 -3.275
2.168 -3.569 -0.444
-2.871 -1.636 -0.867
Au Be Si
1 1 1
direct
0.000 0.000 0.000 Au
0.333 0.667 0.001 Be
0.667 0.333 0.999 Si
```

Results
- total DFT energy (no corrections) (eV per cell) = -11.726
- E_form (uncorrected) (meV/atom) = 234
- calculated volume (Å³ per atom) = 17.39
- total magnetic moment (μB/f.u.) = 0.00

***

No. 4
Compound: DyEr2Cd
Source: Alexandria
Functional: PBE
Structure: relaxed

POSCAR file:
```
DyEr2Cd
1.0
-1.930 -4.791 -1.579
2.102 -4.553 2.007
-2.876 -3.018 3.434
Cd Dy Er
1 1 2
direct
0.500 0.500 0.500 Cd
0.000 0.000 0.000 Dy
0.750 0.750 0.750 Er
0.250 0.250 0.250 Er
```

Results
- total DFT energy (no corrections) (eV per cell) = -14.645
- calculated volume (Å³ per atom) = 27.85
- ΔH_f (0 K) (eV per atom) = -0.001
- total magnetic moment (μB/f.u.) = 0.01

***

No. 5
Compound: CeMg2Ag
Source: Alexandria
Functional: PBE
Structure: relaxed

POSCAR file:
```
CeMg2Ag
1.0
-0.981 -2.092 2.146
-1.439 -1.651 -2.268
7.458 -4.781 -1.251
Mg Ce Ag
2 1 1
direct
0.000 0.000 0.794 Mg
0.000 0.000 0.206 Mg
0.500 0.500 0.500 Ce
0.500 0.500 0.000 Ag
```

Results
- total DFT energy (no corrections) (eV per cell) = -12.382
- calculated volume (Å³ per atom) = 22.23
- ΔH_f (0 K) (eV per atom) = -0.102
- total magnetic moment (μB/f.u.) = 0.54

***

No. 6
Compound: YAsPb2
Source: Alexandria
Functional: PBE
Structure: relaxed

POSCAR file:
```
YAsPb2
1.0
-4.383 1.589 3.894
-5.640 -1.707 -1.475
5.429 -2.698 0.385
Y As Pb
1 1 2
direct
0.500 0.500 0.000 Y
0.750 0.250 0.500 As
0.000 0.000 0.000 Pb
0.250 0.750 0.500 Pb
```

Results
- total DFT energy (no corrections) (eV per cell) = -19.751
- calculated volume (Å³ per atom) = 26.61
- ΔH_f (0 K) (eV per atom) = -0.305
- total magnetic moment (μB/f.u.) = 0.00

***

No. 7
Compound: CoReSi2
Source: Alexandria
Functional: PBE
Structure: relaxed

POSCAR file:
```
CoReSi2
1.0
4.598 -0.001 -0.006
3.682 2.753 -0.006
1.206 0.401 3.946
Si Re Co
2 1 1
direct
0.249 0.249 0.313 Si
0.000 0.000 0.947 Si
0.745 0.745 0.818 Re
0.506 0.506 0.422 Co
```

Results
- total DFT energy (no corrections) (eV per cell) = -31.539
- E_form (uncorrected) (meV/atom) = -285
- calculated volume (Å³ per atom) = 12.50
- total magnetic moment (μB/f.u.) = 0.15

***

No. 8
Compound: Sr2IrW
Source: Alexandria
Functional: PBE
Structure: relaxed

POSCAR file:
```
Sr2IrW
1.0
-0.731 9.159 -2.162
-3.588 7.882 -3.755
-2.177 1.300 2.862
Ir Sr W
1 2 1
direct
0.750 0.750 0.750 Ir
0.398 0.398 0.601 Sr
0.102 0.102 0.899 Sr
0.250 0.250 0.250 W
```

Results
- total DFT energy (no corrections) (eV per cell) = -23.738
- calculated volume (Å³ per atom) = 30.46
- ΔH_f (0 K) (eV per atom) = 0.360
- total magnetic moment (μB/f.u.) = 0.00